A relaxed structure of MoRh2W, computed with GGA-PBEsol.

Values from the calculation:
* ΔH_f (0 K): 355 meV/atom
* DFT total energy: -40.4 eV per cell

Lattice parameters (Å, degrees): 4.3691 4.3691 4.3691 60.00 60.00 60.00
With the nearest neighbours (Å) after each atom.
Fractional positions:
Mo 0.0000 0.0000 0.0000  8 Rh 2.68
Rh 0.2500 0.2500 0.2500  4 Mo 2.68, 4 W 2.68
Rh 0.7500 0.7500 0.7500  4 W 2.68, 4 Mo 2.68
W 0.5000 0.5000 0.5000  8 Rh 2.68